Entry 1:
20
Lattice="-1.678 -2.060 4.454 -2.362 -7.702 -4.452 10.599 -1.290 3.395" Properties=species:S:1:pos:R:3 comment="PmDy3Hg6 | Alexandria via LeMat-Bulk | PBE-GGA | optimized geometry" e_form_kj_per_mol_fu=-419 magnetic_moment_mub_per_fu=0.00 density_g_cm3=11.92 pbc="T T T"
Pm 3.882 -8.503 -0.961
Pm 2.677 -2.549 4.358
Dy 2.469 -4.961 0.145
Dy 4.091 -6.092 3.252
Dy 7.257 -4.268 2.269
Dy -0.698 -6.784 1.128
Dy 8.305 -7.734 1.060
Dy -1.746 -3.319 2.337
Hg -0.537 -4.209 -0.639
Hg 7.096 -6.843 4.036
Hg 1.417 -1.857 1.185
Hg 5.142 -9.196 2.213
Hg 5.554 -6.390 0.646
Hg 1.005 -4.662 2.751
Hg 4.475 -3.116 1.753
Hg 2.085 -7.936 1.644
Hg 0.907 -7.302 -1.526
Hg 5.653 -3.750 4.924
Hg 9.024 -2.172 3.904
Hg -2.465 -8.881 -0.507

=====

Entry 2:
10
Lattice="7.143 0.000 0.000 0.000 7.143 0.000 0.000 0.000 3.040" Properties=species:S:1:pos:R:3 comment="HfCu2Pd2 | Alexandria via LeMat-Bulk | PBE-GGA | optimized geometry" e_form_kj_per_mol_fu=-121 magnetic_moment_mub_per_fu=0.00 de_polymorph_mev_per_atom=209 density_g_cm3=11.10 pbc="T T T"
Hf 0.000 0.000 0.000
Hf 3.572 3.572 0.000
Cu 1.128 4.700 1.520
Cu 4.700 6.015 1.520
Cu 6.015 2.444 1.520
Cu 2.444 1.128 1.520
Pd 2.582 6.153 0.000
Pd 6.153 4.562 0.000
Pd 4.562 0.990 0.000
Pd 0.990 2.582 0.000

=====

Entry 3:
5
Lattice="6.557 0.000 0.000 0.000 6.557 0.000 0.000 0.000 6.557" Properties=species:S:1:pos:R:3 comment="BaSr3In | Alexandria via LeMat-Bulk | PBE-GGA | optimized geometry" e_form_kj_per_mol_fu=382 magnetic_moment_mub_per_fu=2.92 de_polymorph_mev_per_atom=957 density_g_cm3=3.03 pbc="T T T"
Sr 0.000 3.279 0.000
Sr 0.000 0.000 3.279
Sr 3.279 0.000 0.000
Ba 0.000 0.000 0.000
In 3.279 3.279 3.279